VASP calculation (PBE) on a relaxed structure of Nb2AlPd.

Cell lengths 4.5572, 4.5572, 4.5572 Å; angles 60.00, 60.00, 60.00 degrees
Last column: nearest neighbours and their distance in Å.
Positions (direct):
Nb (0.0000, 0.0000, 0.0000)  4 Nb 2.79, 4 Pd 2.79
Nb (0.7500, 0.7500, 0.7500)  4 Nb 2.79, 4 Al 2.79
Al (0.5000, 0.5000, 0.5000)  4 Nb 2.79, 4 Pd 2.79
Pd (0.2500, 0.2500, 0.2500)  4 Nb 2.79, 4 Al 2.79

Properties
Size of the total moment ... 0.9 Bohr magnetons per cell
ρ ... 7.9 Mg/m³
Space-group type ... F-43m, No. 216
Crystal system ... cubic



VASP calculation (PBE) on a relaxed structure of Nb2Al2PdPt.

Cell lengths 7.4203, 4.2838, 14.2084 Å; angles 90.00, 100.02, 90.00 degrees
Last column: nearest neighbours and their distance in Å.
Positions (direct):
Nb (0.1872, 0.5000, 0.0624)  2 Pd 2.62, 2 Pt 2.62
Nb (0.6878, 0.0000, 0.0625)  3 Pt 2.62-2.63, 1 Pd 2.62
Nb (0.4372, 0.5000, 0.8123)  2 Pd 2.62, 2 Pt 2.62-2.63
Nb (0.1876, 0.0000, 0.5625)  4 Pd 2.62
Nb (0.4376, 0.0000, 0.3127)  1 Pd 2.62, 3 Pt 2.62
Nb (0.9375, 0.5000, 0.3127)  1 Pd 2.62, 3 Pt 2.63
Nb (0.6874, 0.5000, 0.5623)  3 Pd 2.62, 1 Pt 2.62
Nb (0.9378, 0.0000, 0.8125)  2 Pd 2.62, 2 Pt 2.63
Al (0.3126, 0.5000, 0.4381)  3 Pd 2.62, 1 Pt 2.63
Al (0.5616, 0.0000, 0.6871)  2 Pd 2.61-2.62, 2 Pt 2.63
Al (0.8128, 0.0000, 0.4381)  3 Pd 2.62, 1 Pt 2.63
Al (0.0631, 0.5000, 0.6872)  3 Pd 2.62, 1 Pt 2.63
Al (0.3116, 0.0000, 0.9371)  2 Pd 2.62, 2 Pt 2.63
Al (0.8133, 0.5000, 0.9376)  2 Pd 2.62, 2 Pt 2.63
Al (0.0624, 0.0000, 0.1872)  1 Pd 2.62, 3 Pt 2.62
Al (0.5625, 0.5000, 0.1875)  4 Pt 2.62
Pt (0.4998, 0.5000, 0.0000)  4 Al 2.62-2.63, 4 Nb 2.62-2.63
Pt (0.2501, 0.5000, 0.2499)  4 Al 2.62-2.63, 4 Nb 2.62-2.63
Pt (0.7499, 0.0000, 0.2499)  4 Nb 2.62-2.63, 4 Al 2.62-2.63
Pt (0.7498, 0.5000, 0.7498)  4 Nb 2.62-2.63, 4 Al 2.63
Pd (0.2501, 0.0000, 0.7499)  4 Al 2.62, 4 Nb 2.62
Pd (0.0002, 0.0000, 0.0000)  4 Al 2.62, 4 Nb 2.62
Pd (0.0002, 0.5000, 0.5002)  4 Al 2.62, 4 Nb 2.62
Pd (0.4999, 0.0000, 0.5003)  4 Al 2.61-2.62, 4 Nb 2.62

Properties
Size of the total moment ... 0.0 Bohr magnetons per cell
ρ ... 8.1 Mg/m³
Space-group type ... Pm, No. 6
Crystal system ... monoclinic



So what do the calculations give for energy? Going down the list: -7.363, -6.981 eV per atom.